# AlPb2SeO6 (PBE-GGA, optimized geometry)
data_AlPb2SeO6
_chemical_formula_sum 'Al6 Pb12 Se6 O36'
_space_group_name_H-M_alt 'R -3 m'
_space_group_IT_number 166
_space_group_name_Hall '-R 3 2"'
_cell_length_a 5.6787
_cell_length_b 5.6787
_cell_length_c 28.1177
_cell_angle_alpha 90.00
_cell_angle_beta 90.00
_cell_angle_gamma 120.00
loop_
_atom_site_label
_atom_site_type_symbol
_atom_site_fract_x
_atom_site_fract_y
_atom_site_fract_z
_atom_site_occupancy
Al1 Al 0.0000 0.0000 0.0000 1
Al2 Al 0.0000 0.0000 0.5000 1
Pb1 Pb 0.0000 0.0000 0.1173 1
Pb2 Pb 0.0000 0.0000 0.2780 1
Se1 Se 0.0000 0.0000 0.4086 1
O1 O 0.0228 0.5114 0.7093 1
O2 O 0.0376 0.5188 0.1212 1
# ΔE_f (raw)	-1.25	eV/atom
# crystal system	trigonal
# total magnetic moment	0.00	μB per formula unit


# MnC3 (PBE-GGA, optimized geometry)
data_MnC3
_chemical_formula_sum 'Mn1 C3'
_space_group_name_H-M_alt 'P -6 m 2'
_space_group_IT_number 187
_space_group_name_Hall 'P -6 2'
_cell_length_a 2.6503
_cell_length_b 2.6503
_cell_length_c 4.6042
_cell_angle_alpha 90.00
_cell_angle_beta 90.00
_cell_angle_gamma 120.00
loop_
_atom_site_label
_atom_site_type_symbol
_atom_site_fract_x
_atom_site_fract_y
_atom_site_fract_z
_atom_site_occupancy
Mn1 Mn 0.0000 0.0000 0.0000 1
C1 C 0.0000 0.0000 0.5000 1
C2 C 0.3333 0.6667 0.2962 1
# DFT formation energy	1.955	eV per atom
# crystal system	hexagonal
# total magnetic moment	0.70	μB per formula unit


# Rb3YGa (PBE-GGA, optimized geometry)
data_Rb3YGa
_chemical_formula_sum 'Rb3 Y1 Ga1'
_space_group_name_H-M_alt 'P m -3 m'
_space_group_IT_number 221
_space_group_name_Hall '-P 4 2 3'
_cell_length_a 6.761
_cell_length_b 6.761
_cell_length_c 6.761
_cell_angle_alpha 90.00
_cell_angle_beta 90.00
_cell_angle_gamma 90.00
loop_
_atom_site_label
_atom_site_type_symbol
_atom_site_fract_x
_atom_site_fract_y
_atom_site_fract_z
_atom_site_occupancy
Rb1 Rb 0.000 0.000 0.500 1
Y1 Y 0.500 0.500 0.500 1
Ga1 Ga 0.000 0.000 0.000 1
# DFT formation energy	0.731	eV per atom
# crystal system	cubic
# total magnetic moment	0.00	μB per formula unit